KFeW2: relaxed, GGA-PBE.

Geometry as POSCAR:
```
KFeW2
1.0
5.070 0.000 0.000
0.000 5.070 0.000
0.000 0.000 2.675
K Fe W
1 1 2
Cartesian
0.000 0.000 0.000
2.535 2.535 0.000
0.000 2.535 1.337
2.535 0.000 1.337
```

## Properties
Calculated density in Mg/m³: 11.18
Energy of formation in meV per atom: 2036
Total DFT energy (no corrections) in eV/atom: -6.83

KFeW2: relaxed, GGA-PBE.

Geometry as POSCAR:
```
KFeW2
1.0
-1.916 1.916 4.992
1.916 -1.916 4.992
1.916 1.916 -4.992
K Fe W
1 1 2
Cartesian
0.000 0.000 0.000
0.000 0.000 4.992
1.916 0.000 2.496
0.000 1.916 2.496
```

## Properties
Calculated density in Mg/m³: 10.48
Energy of formation in meV per atom: 1801
Total DFT energy (no corrections) in eV/atom: -7.07

KFe2W: relaxed, GGA-PBE.

Geometry as POSCAR:
```
KFe2W
1.0
-1.892 1.892 4.703
1.892 -1.892 4.703
1.892 1.892 -4.703
K Fe W
1 2 1
Cartesian
0.000 0.000 0.000
0.000 0.000 4.703
0.000 1.892 2.352
1.892 0.000 2.352
```

## Properties
Calculated density in Mg/m³: 8.25
Energy of formation in meV per atom: 1745
Total DFT energy (no corrections) in eV/atom: -6.00

KFe2W: relaxed, GGA-PBE.

Geometry as POSCAR:
```
KFe2W
1.0
2.707 0.000 0.000
0.000 4.034 0.000
-0.909 0.000 7.384
K Fe W
1 2 1
Cartesian
0.000 0.000 0.000
-0.143 2.017 4.778
1.942 2.017 2.606
0.899 0.000 3.692
```

## Properties
Calculated density in Mg/m³: 6.89
Energy of formation in meV per atom: 782
Total DFT energy (no corrections) in eV/atom: -6.96

KFeW2: relaxed, GGA-PBE.

Geometry as POSCAR:
```
KFeW2
1.0
-1.297 2.565 5.598
1.297 -2.565 5.598
1.297 2.565 -5.598
K Fe W
1 1 2
Cartesian
0.000 0.000 0.000
0.000 0.000 5.598
1.297 0.000 3.259
0.000 2.565 2.339
```

## Properties
Calculated density in Mg/m³: 10.31
Energy of formation in meV per atom: 1140
Total DFT energy (no corrections) in eV/atom: -7.73

KFe2W: relaxed, GGA-PBE.

Geometry as POSCAR:
```
KFe2W
1.0
4.303 -1.395 0.000
4.303 1.395 0.000
-0.390 0.000 7.083
K Fe W
1 2 1
Cartesian
0.000 0.000 0.000
1.797 0.000 4.463
6.419 0.000 2.620
4.108 0.000 3.542
```

## Properties
Calculated density in Mg/m³: 6.53
Energy of formation in meV per atom: 874
Total DFT energy (no corrections) in eV/atom: -6.87